## NaTcS2 (PBE)

Data for crystalline NaTcS2 at its relaxed geometry.

Values from the calculation:
Total DFT energy (no corrections) in eV per atom: -5.51
Relative energy among the computed polymorphs in eV/f.u.: 0.49
Formation energy from raw total energies in meV/atom: -524

Cell: 6.014 6.014 6.777 Å, 63.66 63.66 90.00°
Fractional positions:
Na (0.500, 0.500, 0.000)
Na (0.250, 0.750, 0.500)
S (0.703, 0.125, 0.250)
S (0.047, 0.625, 0.250)
S (0.375, 0.297, 0.750)
S (0.875, 0.953, 0.750)
Tc (0.000, 0.000, 0.000)
Tc (0.750, 0.250, 0.500)

## NaTcS2 (PBE)

Data for crystalline NaTcS2 at its relaxed geometry.

Values from the calculation:
Total DFT energy (no corrections) in eV per atom: -4.84
Relative energy among the computed polymorphs in eV/f.u.: 3.15
Formation energy from raw total energies in meV/atom: 142

Cell: 8.876 8.876 8.876 Å, 19.85 19.85 19.85°
Fractional positions:
Na (0.500, 0.500, 0.500)
S (0.914, 0.914, 0.914)
S (0.086, 0.086, 0.086)
Tc (0.000, 0.000, 0.000)

## NaTc3S (PBE)

Data for crystalline NaTc3S at its relaxed geometry.

Values from the calculation:
Total DFT energy (no corrections) in eV per atom: -6.67
Relative energy among the computed polymorphs in eV/f.u.: 0.00
Formation energy from raw total energies in meV/atom: 639

Cell: 4.418 4.418 4.418 Å, 90.00 90.00 90.00°
Each line ends with the local moment (μB).
Fractional positions:
Na (0.500, 0.500, 0.500)  0.00
S (0.000, 0.000, 0.000)  -0.01
Tc (0.000, 0.500, 0.000)  0.42
Tc (0.000, 0.000, 0.500)  0.43
Tc (0.500, 0.000, 0.000)  0.30